[1]
A PBEsol-optimized structure of Zr2Cl3. Source: Alexandria via LeMat-Bulk, functional meta-GGA SCAN.

Output
- Uncorrected formation energy: -1.107 eV per atom

abc: 4.4661 4.4661 5.5392
angles: 90.00 90.00 120.00
Space group P-3m1 (No. 164)
Symmetry-distinct sites (fractional):
Zr 0.3333 0.6667 0.3510
Cl 0.0000 0.0000 0.5000
Cl 0.3333 0.6667 0.8363

---

[2]
A PBEsol-optimized structure of LiRhSe2. Source: Alexandria via LeMat-Bulk, functional meta-GGA SCAN.

Output
- Uncorrected formation energy: -0.531 eV per atom

abc: 6.1403 6.1403 9.1452
angles: 90.00 90.00 90.00
Space group I-42d (No. 122)
Symmetry-distinct sites (fractional):
Li 0.0000 0.0000 0.0000
Rh 0.0000 0.0000 0.5000
Se 0.2214 0.2500 0.6250

---

[3]
A PBEsol-optimized structure of Li4YCr. Source: Alexandria via LeMat-Bulk, functional meta-GGA SCAN.

Output
- E_form: 150 meV per atom

abc: 7.6887 7.6887 7.6887
angles: 90.00 90.00 90.00
Space group F-43m (No. 216)
Symmetry-distinct sites (fractional):
Li 0.1222 0.1222 0.1222
Y 0.0000 0.0000 0.5000
Cr 0.2500 0.2500 0.7500